DFT (PBE-GGA) results for a relaxed structure of HfSc2AgRu.

The space group is P4/mmm (No. 123) and the conventional cell measures 5.088, 5.088 and 4.898 Å, with angles of 90.00, 90.00 and 90.00 degrees. The distinct sites, in fractional coordinates, are Hf at (0.000, 0.000, 0.000), Sc at (0.000, 0.500, 0.000), Ag at (0.000, 0.000, 0.500) and Ru at (0.500, 0.500, 0.500).

The formation energy comes out at 1504 meV per atom. For the magnetic moment, the calculation gives 1.84 μB per formula unit.


DFT (PBE-GGA) results for a relaxed structure of Ag2As2Au.

The space group is I4/mmm (No. 139) and the conventional cell measures 3.739, 3.739 and 14.409 Å, with angles of 90.00, 90.00 and 90.00 degrees. The distinct sites, in fractional coordinates, are Ag at (0.000, 0.000, 0.094), As at (0.000, 0.500, 0.250) and Au at (0.000, 0.000, 0.500).

The formation energy comes out at 236 meV per atom. For the magnetic moment, the calculation gives 0.00 μB per formula unit.


DFT (PBE-GGA) results for a relaxed structure of PuTlAgHg.

The space group is F-43m (No. 216) and the conventional cell measures 7.287, 7.287 and 7.287 Å, with angles of 90.00, 90.00 and 90.00 degrees. The distinct sites, in fractional coordinates, are Pu at (0.000, 0.000, 0.000), Tl at (0.250, 0.250, 0.250), Ag at (0.000, 0.000, 0.500) and Hg at (0.250, 0.250, 0.750).

The formation energy comes out at -3 meV per atom. For the magnetic moment, the calculation gives 5.70 μB per formula unit.


DFT (PBE-GGA) results for a relaxed structure of Ir2Pt4Rh3.

The space group is C2/m (No. 12) and the conventional cell measures 11.707, 3.905 and 6.182 Å, with angles of 90.00, 108.28 and 90.00 degrees. The distinct sites, in fractional coordinates, are Ir at (0.168, 0.000, 0.497), Pt at (0.053, 0.000, 0.829), Pt at (0.222, 0.500, 0.828), Rh at (0.000, 0.500, 0.500) and Rh at (0.113, 0.500, 0.175).

The formation energy comes out at 5 meV per atom. For the magnetic moment, the calculation gives 0.00 μB per formula unit.


DFT (PBE-GGA) results for a relaxed structure of Li2MoW.

The space group is P2/m (No. 10) and the conventional cell measures 2.561, 4.962 and 4.955 Å, with angles of 90.00, 96.46 and 90.00 degrees. The distinct sites, in fractional coordinates, are Li at (0.246, 0.000, 0.249), Mo at (0.000, 0.500, 0.500) and W at (0.500, 0.500, 0.000).

The formation energy comes out at 447 meV per atom. For the magnetic moment, the calculation gives 0.00 μB per formula unit.


DFT (PBE-GGA) results for a relaxed structure of PuSi2Mo2.

The space group is I4/mmm (No. 139) and the conventional cell measures 3.922, 3.922 and 11.377 Å, with angles of 90.00, 90.00 and 90.00 degrees. The distinct sites, in fractional coordinates, are Pu at (0.000, 0.000, 0.000), Si at (0.000, 0.000, 0.395) and Mo at (0.000, 0.500, 0.250).

The raw formation energy is -0.37 eV/atom. For the magnetic moment, the calculation gives 5.47 μB per formula unit.


magnetic moment of number 5 (Li2MoW)?
0.00 μB per formula unit